[1]
La2MgCd4In3 | PBE-GGA | optimized geometry

Summary:
Total magnetization   0.000 μB/atom
E_form   -315 meV/atom

Structure (CIF):
```
data_La2MgCd4In3
_space_group_name_H-M_alt 'P -4 m 2'
_space_group_IT_number 115
_cell_length_a 4.631
_cell_length_b 4.631
_cell_length_c 12.332
_cell_angle_alpha 90.00
_cell_angle_beta 90.00
_cell_angle_gamma 90.00
loop_
_space_group_symop_operation_xyz
'x,y,z'
'y,-x,-z'
'-x,-y,z'
'-y,x,-z'
'-x,y,z'
'-y,-x,-z'
'x,-y,z'
'y,x,-z'
loop_
_atom_site_label
_atom_site_type_symbol
_atom_site_fract_x
_atom_site_fract_y
_atom_site_fract_z
La1 La 0.000 0.500 0.243
Mg1 Mg 0.000 0.000 0.500
Cd1 Cd 0.000 0.000 0.000
Cd2 Cd 0.000 0.500 0.638
Cd3 Cd 0.500 0.500 0.000
In1 In 0.000 0.500 0.859
In2 In 0.500 0.500 0.500
```

***

[2]
LaErInHg | PBE-GGA | optimized geometry

Summary:
Total magnetization   0.000 μB/atom
E_form   -466 meV/atom

Structure (CIF):
```
data_LaErInHg
_space_group_name_H-M_alt 'F -4 3 m'
_space_group_IT_number 216
_space_group_name_Hall 'F -4 2 3'
_cell_length_a 7.685
_cell_length_b 7.685
_cell_length_c 7.685
_cell_angle_alpha 90.00
_cell_angle_beta 90.00
_cell_angle_gamma 90.00
loop_
_atom_site_label
_atom_site_type_symbol
_atom_site_fract_x
_atom_site_fract_y
_atom_site_fract_z
La1 La 0.000 0.000 0.000
Er1 Er 0.000 0.000 0.500
In1 In 0.250 0.250 0.750
Hg1 Hg 0.250 0.250 0.250
```

***

Q: What is the formula in the first record?
A: La2MgCd4In3